# 1
Below is a geometry-optimized AlPtPb2 structure, with properties calculated at the PBE-GGA level. Values from VASP.

Computed properties:
Energy of formation   142 meV per atom
Calculated volume   91.6 Å³/f.u.
Space group   Cmmm, No. 65

Cell and atoms, written as Quantum ESPRESSO input:
```
&SYSTEM
  ibrav = 0, nat = 4, ntyp = 3
/
ATOMIC_SPECIES
Pb 207.20 Pb.upf
Pt 195.08 Pt.upf
Al 26.98 Al.upf
ATOMIC_POSITIONS angstrom
Pb 0.0000 0.0000 0.0000
Pb -1.4200 -0.2513 -2.7758
Pt -3.0456 -0.7116 -0.1429
Al 0.1033 -2.7049 -1.5732
CELL_PARAMETERS angstrom
-4.5688 1.7420 -1.3454
1.7288 -2.2446 -4.2061
-1.5223 -3.1653 1.0597
```



# 2
Below is a geometry-optimized IrRu2Au structure, with properties calculated at the PBE-GGA level. Values from VASP.

Computed properties:
E above lowest polymorph   69 meV per atom
Energy of formation   283 meV per atom
Calculated volume   60.1 Å³/f.u.
Space group   Cm, No. 8

Cell and atoms, written as Quantum ESPRESSO input:
```
&SYSTEM
  ibrav = 0, nat = 4, ntyp = 3
/
ATOMIC_SPECIES
Ru 101.07 Ru.upf
Ir 192.22 Ir.upf
Au 196.97 Au.upf
ATOMIC_POSITIONS angstrom
Ru 8.7895 2.6546 0.0237
Ru 2.4443 0.7382 1.1013
Ir 7.1288 2.1530 3.6244
Au 4.7857 1.4454 2.3623
CELL_PARAMETERS angstrom
4.7951 0.0014 0.0053
3.9943 2.6531 0.0053
0.7832 0.2365 4.7233
```



no.,electronic total energy (eV/atom)
1,-4.16
2,-7.39